Entry from Alexandria via LeMat-Bulk: a relaxed EuHfVSnO6 crystal (PBE with a Hubbard U).

Uncorrected energy: -85.66 eV for the cell shown
Total magnetic moment: 0.800 μB/atom
SG: F-43m, No. 216

Geometry as POSCAR:
```
EuHfVSnO6
1.0
0.000 4.018 4.018
4.018 0.000 4.018
4.018 4.018 0.000
O Eu Sn Hf V
6 1 1 1 1
Direct
0.744 0.256 0.256
0.256 0.744 0.744
0.744 0.744 0.256
0.744 0.256 0.744
0.256 0.744 0.256
0.256 0.256 0.744
0.750 0.750 0.750
0.250 0.250 0.250
0.000 0.000 0.000
0.500 0.500 0.500
```